(1)
Density functional theory data (PBE) for YTa2Cd after structural relaxation.

Results
- space-group type = P4mm
- E_form (meV/atom) = 255.1

a = 2.9559 Å, b = 2.9559 Å, c = 9.6902 Å
α = 90.00°, β = 90.00°, γ = 90.00°
Last column: nearest neighbours and their distance in Å.
Sites, in units of the cell vectors:
1 Y 0.0000 0.0000 0.0000  4 Y 2.96, 4 Ta 3.25
2 Ta 0.0000 0.0000 0.5139  8 Ta 2.96-3.05, 4 Cd 3.13
3 Ta 0.5000 0.5000 0.7435  8 Ta 2.96-3.05, 4 Y 3.25
4 Cd 0.5000 0.5000 0.2733  4 Cd 2.96, 4 Ta 3.13

=====

(2)
Density functional theory data (PBE) for Ca4Sm3ErTe8 after structural relaxation.

Results
- space-group type = R-3m
- electronic total energy (eV per atom) = -4.7193

a = 8.9814 Å, b = 8.9814 Å, c = 8.9814 Å
α = 58.95°, β = 58.95°, γ = 58.95°
Last column: nearest neighbours and their distance in Å.
Sites, in units of the cell vectors:
1 Ca 0.0000 0.0000 0.0000  6 Te 3.19
2 Ca 0.0000 0.5000 0.5000  6 Te 3.14
3 Ca 0.5000 0.0000 0.5000  6 Te 3.14
4 Ca 0.5000 0.5000 0.0000  6 Te 3.14
5 Sm 0.0000 0.0000 0.5000  6 Te 3.16
6 Sm 0.0000 0.5000 0.0000  6 Te 3.16
7 Sm 0.5000 0.0000 0.0000  6 Te 3.16
8 Er 0.5000 0.5000 0.5000  6 Te 3.11
9 Te 0.2507 0.2507 0.2507  3 Ca 3.14, 3 Sm 3.16
10 Te 0.2534 0.2534 0.7451  1 Er 3.11, 3 Ca 3.14-3.19, 2 Sm 3.16
11 Te 0.2534 0.7451 0.2534  1 Er 3.11, 3 Ca 3.14-3.19, 2 Sm 3.16
12 Te 0.2549 0.7466 0.7466  1 Er 3.11, 3 Ca 3.14-3.19, 2 Sm 3.16
13 Te 0.7451 0.2534 0.2534  1 Er 3.11, 3 Ca 3.14-3.19, 2 Sm 3.16
14 Te 0.7466 0.2549 0.7466  1 Er 3.11, 3 Ca 3.14-3.19, 2 Sm 3.16
15 Te 0.7466 0.7466 0.2549  1 Er 3.11, 3 Ca 3.14-3.19, 2 Sm 3.16
16 Te 0.7493 0.7493 0.7493  3 Ca 3.14, 3 Sm 3.16

=====

(3)
Density functional theory data (PBE) for Cd2In3Ag5 after structural relaxation.

Results
- space-group type = P-1
- E_form (meV/atom) = 19.5

a = 4.5927 Å, b = 5.3421 Å, c = 9.7470 Å
α = 96.75°, β = 90.20°, γ = 115.44°
Last column: nearest neighbours and their distance in Å.
Sites, in units of the cell vectors:
1 Cd 0.0554 0.1075 0.2758  5 Ag 2.90-3.25, 3 In 3.13-3.14
2 Cd 0.9446 0.8925 0.7242  5 Ag 2.90-3.25, 3 In 3.13-3.14
3 In 0.2364 0.4763 0.6180  3 Ag 2.90-2.91, 3 Cd 3.13-3.14
4 In 0.5000 0.0000 0.0000  6 Ag 2.84-2.85
5 In 0.7636 0.5237 0.3820  3 Ag 2.90-2.91, 3 Cd 3.13-3.14
6 Ag 0.1651 0.3302 0.9651  2 In 2.84, 5 Ag 2.85-2.97, 1 Cd 2.94
7 Ag 0.3460 0.6896 0.2296  3 In 2.85-2.91, 4 Ag 2.85-2.97, 3 Cd 2.90-3.05
8 Ag 0.5000 0.0000 0.5000  2 Ag 2.85, 2 In 2.91
9 Ag 0.6540 0.3104 0.7704  3 In 2.85-2.91, 4 Ag 2.85-2.97, 3 Cd 2.90-3.05
10 Ag 0.8349 0.6698 0.0349  2 In 2.84, 5 Ag 2.85-2.97, 1 Cd 2.94

=====

(4)
Density functional theory data (PBE) for Ca3Si4Ir2 after structural relaxation.

Results
- space-group type = C2/m
- electronic total energy (eV per atom) = -5.7462

a = 5.9115 Å, b = 5.9115 Å, c = 8.0572 Å
α = 105.73°, β = 105.73°, γ = 41.23°
Last column: nearest neighbours and their distance in Å.
Sites, in units of the cell vectors:
1 Ca 0.0000 0.0000 0.0000  8 Si 3.17-3.24
2 Ca 0.3928 0.3928 0.3054  7 Si 3.00-3.10, 4 Ir 3.12-3.21, 1 Ca 3.34
3 Ca 0.6072 0.6072 0.6946  7 Si 3.00-3.10, 4 Ir 3.12-3.21, 1 Ca 3.34
4 Si 0.1084 0.1084 0.4103  3 Ir 2.37-2.45
5 Si 0.2706 0.2706 0.9208  1 Ir 2.39, 2 Si 2.55
6 Si 0.7294 0.7294 0.0792  1 Ir 2.39, 2 Si 2.55
7 Si 0.8916 0.8916 0.5897  3 Ir 2.37-2.45
8 Ir 0.3080 0.3080 0.6426  4 Si 2.37-2.45
9 Ir 0.6920 0.6920 0.3574  4 Si 2.37-2.45

=====

> What is the formula in the fourth record?

Ca3Si4Ir2